First-principles (PBE with a Hubbard U) data for an optimized crystal structure of Rb2Mg2Mo3O12, as listed in Alexandria via LeMat-Bulk.

Cell lengths 11.0053, 11.0053, 11.0053 Å; angles 90.00, 90.00, 90.00 degrees
Closest atoms and distances in Å follow each position.
Fractional coordinates of all 76 atoms:
Rb 0.0505 0.0505 0.0505  3 O 3.05
Rb 0.1783 0.3217 0.6783  9 O 3.18-3.25
Rb 0.3217 0.6783 0.1783  9 O 3.18-3.25
Rb 0.4495 0.9495 0.5505  3 O 3.05
Rb 0.5505 0.4495 0.9495  3 O 3.05
Rb 0.6783 0.1783 0.3217  9 O 3.18-3.25
Rb 0.8217 0.8217 0.8217  9 O 3.18-3.25
Rb 0.9495 0.5505 0.4495  3 O 3.05
Mg 0.1134 0.8866 0.3866  6 O 2.11-2.12
Mg 0.1614 0.6614 0.8386  6 O 2.08-2.09
Mg 0.3386 0.3386 0.3386  6 O 2.08-2.09
Mg 0.3866 0.1134 0.8866  6 O 2.11-2.12
Mg 0.6134 0.6134 0.6134  6 O 2.11-2.12
Mg 0.6614 0.8386 0.1614  6 O 2.08-2.09
Mg 0.8386 0.1614 0.6614  6 O 2.08-2.09
Mg 0.8866 0.3866 0.1134  6 O 2.11-2.12
Mo 0.0273 0.2018 0.3779  4 O 1.79-1.80
Mo 0.1221 0.9727 0.7018  4 O 1.79-1.80
Mo 0.2018 0.3779 0.0273  4 O 1.79-1.80
Mo 0.2982 0.6221 0.5273  4 O 1.79-1.80
Mo 0.3779 0.0273 0.2018  4 O 1.79-1.80
Mo 0.4727 0.7982 0.8779  4 O 1.79-1.80
Mo 0.5273 0.2982 0.6221  4 O 1.79-1.80
Mo 0.6221 0.5273 0.2982  4 O 1.79-1.80
Mo 0.7018 0.1221 0.9727  4 O 1.79-1.80
Mo 0.7982 0.8779 0.4727  4 O 1.79-1.80
Mo 0.8779 0.4727 0.7982  4 O 1.79-1.80
Mo 0.9727 0.7018 0.1221  4 O 1.79-1.80
O 0.0207 0.5485 0.7786  1 Mo 1.79
O 0.0241 0.0463 0.3264  1 Mo 1.80
O 0.0463 0.3264 0.0241  1 Mo 1.80
O 0.0485 0.7214 0.9793  1 Mo 1.79
O 0.0541 0.7928 0.2305  1 Mo 1.80
O 0.1027 0.8199 0.7535  1 Mo 1.79
O 0.1736 0.9759 0.5463  1 Mo 1.80
O 0.1801 0.2535 0.3973  1 Mo 1.79
O 0.2072 0.7305 0.4459  1 Mo 1.80
O 0.2214 0.5207 0.9515  1 Mo 1.79
O 0.2305 0.0541 0.7928  1 Mo 1.80
O 0.2465 0.6027 0.6801  1 Mo 1.79
O 0.2535 0.3973 0.1801  1 Mo 1.79
O 0.2695 0.9459 0.2928  1 Mo 1.80
O 0.2786 0.4793 0.4515  1 Mo 1.79
O 0.2928 0.2695 0.9459  1 Mo 1.80
O 0.3199 0.7465 0.8973  1 Mo 1.79
O 0.3264 0.0241 0.0463  1 Mo 1.80
O 0.3973 0.1801 0.2535  1 Mo 1.79
O 0.4459 0.2072 0.7305  1 Mo 1.80
O 0.4515 0.2786 0.4793  1 Mo 1.79
O 0.4537 0.6736 0.5241  1 Mo 1.80
O 0.4759 0.9537 0.8264  1 Mo 1.80
O 0.4793 0.4515 0.2786  1 Mo 1.79
O 0.5207 0.9515 0.2214  1 Mo 1.79
O 0.5241 0.4537 0.6736  1 Mo 1.80
O 0.5463 0.1736 0.9759  1 Mo 1.80
O 0.5485 0.7786 0.0207  1 Mo 1.79
O 0.5541 0.7072 0.7695  1 Mo 1.80
O 0.6027 0.6801 0.2465  1 Mo 1.79
O 0.6736 0.5241 0.4537  1 Mo 1.80
O 0.6801 0.2465 0.6027  1 Mo 1.79
O 0.7072 0.7695 0.5541  1 Mo 1.80
O 0.7214 0.9793 0.0485  1 Mo 1.79
O 0.7305 0.4459 0.2072  1 Mo 1.80
O 0.7465 0.8973 0.3199  1 Mo 1.79
O 0.7535 0.1027 0.8199  1 Mo 1.79
O 0.7695 0.5541 0.7072  1 Mo 1.80
O 0.7786 0.0207 0.5485  1 Mo 1.79
O 0.7928 0.2305 0.0541  1 Mo 1.80
O 0.8199 0.7535 0.1027  1 Mo 1.79
O 0.8264 0.4759 0.9537  1 Mo 1.80
O 0.8973 0.3199 0.7465  1 Mo 1.79
O 0.9459 0.2928 0.2695  1 Mo 1.80
O 0.9515 0.2214 0.5207  1 Mo 1.79
O 0.9537 0.8264 0.4759  1 Mo 1.80
O 0.9759 0.5463 0.1736  1 Mo 1.80
O 0.9793 0.0485 0.7214  1 Mo 1.79

Fermi-level density of states in states/eV/atom: 0.000
Electronic total energy in Ry/atom: -0.4795
Crystal system: cubic
Magnetization in μB/f.u.: 0.0